Material: Ga6Ni2Ge
Method: DFT, PBE-GGA
State: optimized geometry

Cell: 6.8550 6.8550 3.5219 Å, 90.00 90.00 120.00°
Sites, in units of the cell vectors:
1 Ge 0.0000 0.0000 0.5000
2 Ni 0.3333 0.6667 0.0000
3 Ni 0.6667 0.3333 0.0000
4 Ga 0.0000 0.6033 0.5000
5 Ga 0.0000 0.2955 0.0000
6 Ga 0.3967 0.3967 0.5000
7 Ga 0.2955 0.0000 0.0000
8 Ga 0.7045 0.7045 0.0000
9 Ga 0.6033 0.0000 0.5000

Output
Total energy (eV for the cell shown): -34.3
Theoretical density (kg/m3): 7049
Space group: P-62m
Magnetization (μB per cell): 0.0